PBE-GGA Li2UGeO6, optimized geometry; calculated volume = 130.4 Å³/f.u.; total moment = 0.0036 μB per atom; uncorrected formation energy = -210.9 kJ/mol of atoms; theoretical density = 5.4 Mg/m³; total DFT energy (no corrections) = -7.1345 eV per atom
1.0
-1.8336 -1.5200 -3.5189
2.4090 -4.9117 0.8664
-4.3775 -1.6211 2.9812
Li U Ge O
2 1 1 6
Direct
0.9540 0.5000 0.0000
0.9540 0.0000 0.5000
0.6678 0.5000 0.5000
0.6105 0.0000 0.0000
0.7190 0.2389 0.2389
0.7190 0.2389 0.7611
0.1802 0.5000 0.5000
0.2040 0.0000 0.0000
0.7190 0.7611 0.7611
0.7190 0.7611 0.2389